Entry 1:
# Al3Tl

Crystalline Al3Tl at its relaxed geometry (PBE-GGA, the Alexandria database).

Output
N(E_F) = 1.02 states/eV per cell
Relative energy among the computed polymorphs = 0.028 eV/atom
Formation enthalpy at 0 K = 0.201 eV/atom
Calculated total energy = -3.197 eV/atom
Symmetry = R-3m

The structure in POSCAR format:
```
Al3Tl
1.0
1.532 0.885 10.191
-1.532 0.885 10.191
0.000 -1.770 10.191
Al Tl
3 1
Cartesian
0.000 0.000 0.000
0.000 0.000 7.906
0.000 0.000 22.667
0.000 0.000 15.286
```

Entry 2:
# Sb2TeCBr

Crystalline Sb2TeCBr at its relaxed geometry (PBE-GGA, the Alexandria database).

Output
N(E_F) = 8.91 states/eV per cell
Relative energy among the computed polymorphs = 1.295 eV/atom
Formation energy (no corrections) = 11.3 eV per formula unit
Calculated total energy = -2.196 eV/atom
Symmetry = P4/mmm

The structure in POSCAR format:
```
Sb2TeCBr
1.0
5.564 0.000 0.000
0.000 5.564 0.000
0.000 0.000 5.644
Sb Te C Br
2 1 1 1
Cartesian
0.000 2.782 0.000
2.782 0.000 0.000
0.000 0.000 2.822
2.782 2.782 2.822
0.000 0.000 0.000
```

Entry 3:
# CrPt2Se

Crystalline CrPt2Se at its relaxed geometry (PBE-GGA, the Alexandria database).

Output
N(E_F) = 3.17 states/eV per cell
Formation energy (no corrections) = 0.1 eV per formula unit
Calculated total energy = -6.263 eV/atom
Symmetry = P4/mmm

The structure in POSCAR format:
```
CrPt2Se
1.0
2.760 0.000 0.000
0.000 2.760 0.000
0.000 0.000 8.355
Cr Pt Se
1 2 1
Cartesian
0.000 0.000 0.000
1.380 1.380 1.754
1.380 1.380 6.601
0.000 0.000 4.178
```

Entry 4:
# ZnSbO4

Crystalline ZnSbO4 at its relaxed geometry (PBE-GGA, the Alexandria database).

Output
Formation energy (no corrections) = -7.1 eV per formula unit
Calculated total energy = -5.394 eV/atom
Symmetry = P2_1/c

The structure in POSCAR format:
```
ZnSbO4
1.0
7.600 0.000 0.000
0.000 5.581 0.000
-6.037 0.000 7.548
Zn Sb O
4 4 16
Cartesian
-0.700 0.454 2.252
-3.718 2.337 6.026
5.281 3.244 1.522
2.262 5.127 5.297
-0.603 3.362 4.384
2.416 5.009 0.609
-0.853 0.572 6.939
2.165 2.218 3.165
0.468 0.284 0.509
-2.551 2.506 4.283
-4.040 4.172 6.428
-1.021 4.199 2.653
-2.829 1.006 7.094
0.189 1.785 3.319
2.125 3.235 1.469
-0.894 5.136 5.243
2.457 0.445 2.306
-0.562 2.346 6.080
1.374 3.796 4.229
4.392 4.575 0.455
2.584 1.382 4.895
5.602 1.408 1.121
4.114 3.075 3.265
1.095 5.296 7.040
```

Entry 5:
# K2ScPd

Crystalline K2ScPd at its relaxed geometry (PBE-GGA, the Alexandria database).

Output
N(E_F) = 4.38 states/eV per cell
Relative energy among the computed polymorphs = 0.415 eV/atom
Formation enthalpy at 0 K = 0.732 eV/atom
Calculated total energy = -2.698 eV/atom
Symmetry = Fm-3m

The structure in POSCAR format:
```
K2ScPd
1.0
0.000 3.989 3.989
3.989 0.000 3.989
3.989 3.989 0.000
K Sc Pd
2 1 1
Cartesian
1.994 1.994 1.994
5.983 5.983 5.983
0.000 0.000 0.000
3.989 3.989 3.989
```

Entry 6:
# TcRu4

Crystalline TcRu4 at its relaxed geometry (PBE-GGA, the Alexandria database).

Output
N(E_F) = 5.29 states/eV per cell
Relative energy among the computed polymorphs = 0.000 eV/atom
Formation enthalpy at 0 K = 0.079 eV/atom
Calculated total energy = -9.415 eV/atom
Symmetry = I4/m

The structure in POSCAR format:
```
TcRu4
1.0
-3.026 3.026 1.921
3.026 -3.026 1.921
3.026 3.026 -1.921
Tc Ru
1 4
Cartesian
0.000 0.000 0.000
2.414 1.205 0.000
1.820 -0.612 1.921
1.205 3.637 0.000
0.612 1.820 1.921
```

Entry 7:
# Th8InHg2

Crystalline Th8InHg2 at its relaxed geometry (PBE-GGA, the Alexandria database).

Output
N(E_F) = 13.08 states/eV per cell
Formation enthalpy at 0 K = 0.041 eV/atom
Calculated total energy = -5.659 eV/atom
Symmetry = C2/m

The structure in POSCAR format:
```
Th8InHg2
1.0
4.410 -7.327 0.000
4.410 7.327 0.000
-1.945 0.000 5.373
Th In Hg
8 1 2
Cartesian
0.516 1.608 3.193
4.410 3.982 0.000
0.516 -1.608 3.193
3.145 0.000 1.023
3.729 0.000 4.350
6.358 1.608 2.180
4.410 -3.982 0.000
6.358 -1.608 2.180
0.000 0.000 0.000
3.437 2.798 2.686
3.437 -2.798 2.686
```

Entry 8:
# SnSbF2

Crystalline SnSbF2 at its relaxed geometry (PBE-GGA, the Alexandria database).

Output
N(E_F) = 4.19 states/eV per cell
Relative energy among the computed polymorphs = 0.412 eV/atom
Formation energy (no corrections) = -3.6 eV per formula unit
Calculated total energy = -3.879 eV/atom
Symmetry = Fm-3m

The structure in POSCAR format:
```
SnSbF2
1.0
0.000 3.297 3.297
3.297 0.000 3.297
3.297 3.297 0.000
Sn Sb F
1 1 2
Cartesian
0.000 0.000 0.000
3.297 3.297 3.297
1.649 1.649 1.649
4.946 4.946 4.946
```

Entry 9:
# BaTl2Cu2

Crystalline BaTl2Cu2 at its relaxed geometry (PBE-GGA, the Alexandria database).

Output
N(E_F) = 2.54 states/eV per cell
Relative energy among the computed polymorphs = 0.000 eV/atom
Formation enthalpy at 0 K = -0.053 eV/atom
Calculated total energy = -3.022 eV/atom
Symmetry = I4/mmm

The structure in POSCAR format:
```
BaTl2Cu2
1.0
-2.487 2.487 5.307
2.487 -2.487 5.307
2.487 2.487 -5.307
Ba Tl Cu
1 2 2
Cartesian
0.000 0.000 0.000
0.000 0.000 3.745
0.000 0.000 6.869
2.487 0.000 2.654
0.000 2.487 2.654
```

Entry 10:
# Sm7Sn2Hg2

Crystalline Sm7Sn2Hg2 at its relaxed geometry (PBE-GGA, the Alexandria database).

Output
N(E_F) = 14.10 states/eV per cell
Formation enthalpy at 0 K = -0.186 eV/atom
Calculated total energy = -3.972 eV/atom
Symmetry = Cmmm

The structure in POSCAR format:
```
Sm7Sn2Hg2
1.0
4.101 -5.718 0.000
4.101 5.718 0.000
0.000 0.000 7.602
Sm Sn Hg
7 2 2
Cartesian
0.000 0.000 0.000
2.050 2.859 2.182
2.050 2.859 5.420
2.050 -2.859 2.182
2.050 -2.859 5.420
4.101 0.000 1.919
4.101 0.000 5.683
1.460 0.000 3.801
6.741 0.000 3.801
4.101 2.470 0.000
4.101 -2.470 0.000
```

Entry 11:
# NbCoPd3

Crystalline NbCoPd3 at its relaxed geometry (PBE-GGA, the Alexandria database).

Output
N(E_F) = 15.43 states/eV per cell
Relative energy among the computed polymorphs = 0.000 eV/atom
Formation enthalpy at 0 K = 0.956 eV/atom
Calculated total energy = -5.595 eV/atom
Symmetry = Pm-3m

The structure in POSCAR format:
```
NbCoPd3
1.0
4.506 0.000 0.000
0.000 4.506 0.000
0.000 0.000 4.506
Nb Co Pd
1 1 3
Cartesian
0.000 0.000 0.000
2.253 2.253 2.253
0.000 2.253 2.253
2.253 0.000 2.253
2.253 2.253 0.000
```

Entry 12:
# Pu2MnP

Crystalline Pu2MnP at its relaxed geometry (PBE-GGA, the Alexandria database).

Output
N(E_F) = 8.20 states/eV per cell
Relative energy among the computed polymorphs = 0.000 eV/atom
Formation enthalpy at 0 K = -0.476 eV/atom
Calculated total energy = -11.287 eV/atom
Symmetry = P4/mmm

The structure in POSCAR format:
```
Pu2MnP
1.0
3.665 0.000 0.000
0.000 3.665 0.000
0.000 0.000 5.601
Pu Mn P
2 1 1
Cartesian
0.000 0.000 1.344
0.000 0.000 4.257
1.832 1.832 2.801
1.832 1.832 0.000
```